This record from Alexandria describes a geometry-optimized La3Ni6Sb5 structure. The functional is PBE-GGA.

Results
Space group: Pmmn
Energy relative to the elements, uncorrected, eV/atom: -0.682
Energy, eV/atom: -5.688
Total magnetization, μB per atom: 0.0000

Lattice parameters (Å, degrees): 4.3541 10.1201 12.9904 90.00 90.00 90.00
Sites, in units of the cell vectors:
Ni: 0.5000 0.3869 0.1764
Ni: 0.5000 0.3869 0.8236
Ni: 0.0000 0.0013 0.1670
Ni: 0.0000 0.0013 0.8330
Ni: 0.0000 0.6131 0.6764
Ni: 0.0000 0.6131 0.3236
Ni: 0.5000 0.9986 0.0000
Ni: 0.0000 0.0014 0.5000
Ni: 0.5000 0.9987 0.3330
Ni: 0.5000 0.4913 0.0000
Ni: 0.0000 0.5087 0.5000
Ni: 0.5000 0.9987 0.6670
Sb: 0.5000 0.1338 0.1676
Sb: 0.0000 0.8662 0.6676
Sb: 0.5000 0.1338 0.8324
Sb: 0.5000 0.1344 0.5000
Sb: 0.0000 0.8662 0.3325
Sb: 0.5000 0.4895 0.6352
Sb: 0.5000 0.4895 0.3648
Sb: 0.0000 0.5105 0.1352
Sb: 0.0000 0.8656 0.0000
Sb: 0.0000 0.5105 0.8648
La: 0.0000 0.2509 0.6689
La: 0.5000 0.7491 0.1689
La: 0.5000 0.7491 0.8311
La: 0.0000 0.2400 0.0000
La: 0.0000 0.2509 0.3311
La: 0.5000 0.7600 0.5000


This record from Alexandria describes a geometry-optimized Dy2Ho structure. The functional is PBE-GGA.

Results
Space group: Fd-3m
Energy relative to the elements, kJ per mole of atoms: 26
Energy, eV/atom: -4.329
Energy relative to the lowest polymorph listed for this composition, eV per atom: 0.2584
Total magnetization, μB per atom: 0.0045

Lattice parameters (Å, degrees): 6.5202 6.5202 6.5202 60.00 60.00 60.00
Sites, in units of the cell vectors:
Ho: 0.2500 0.2500 0.2500
Ho: 0.0000 0.0000 0.0000
Dy: 0.6250 0.1250 0.6250
Dy: 0.1250 0.6250 0.6250
Dy: 0.6250 0.6250 0.6250
Dy: 0.6250 0.6250 0.1250


This record from Alexandria describes a geometry-optimized Pr7Nd4In structure. The functional is PBE-GGA.

Results
Space group: C2/m
Energy relative to the elements, kJ per mole of atoms: 11
Energy, eV/atom: -4.492
Energy relative to the lowest polymorph listed for this composition, eV per atom: 0.0000
Total magnetization, μB per atom: 0.0000

Lattice parameters (Å, degrees): 6.1290 9.8270 9.0035 60.19 70.10 71.83
Sites, in units of the cell vectors:
Pr: 0.2115 0.1306 0.4464
Pr: 0.2037 0.7887 0.8039
Pr: 0.7885 0.8694 0.5536
Pr: 0.7963 0.2113 0.1961
Pr: 0.5000 0.0000 0.0000
Pr: 0.0728 0.5905 0.2640
Pr: 0.9272 0.4095 0.7360
Nd: 0.5791 0.3062 0.5356
Nd: 0.3200 0.3982 0.9617
Nd: 0.6800 0.6018 0.0383
Nd: 0.4209 0.6938 0.4644
In: 0.0000 0.0000 0.0000


This record from Alexandria describes a geometry-optimized Li7CdAu3 structure. The functional is PBE-GGA.

Results
Space group: Cmcm
Energy relative to the elements, kJ per mole of atoms: -36
Energy, eV/atom: -2.564
Total magnetization, μB per atom: 0.0000

Lattice parameters (Å, degrees): 2.8944 10.9268 12.3092 90.00 90.00 97.61
Sites, in units of the cell vectors:
Li: 0.4497 0.8994 0.9133
Li: 0.6008 0.2015 0.8836
Li: 0.2710 0.5420 0.4012
Li: 0.2710 0.5420 0.0988
Li: 0.3992 0.7985 0.1164
Li: 0.6008 0.2015 0.6164
Li: 0.5503 0.1006 0.4133
Li: 0.3992 0.7985 0.3836
Li: 0.3386 0.6771 0.7500
Li: 0.7290 0.4580 0.5988
Li: 0.5503 0.1006 0.0867
Li: 0.7290 0.4580 0.9012
Li: 0.6614 0.3229 0.2500
Li: 0.4497 0.8994 0.5867
Au: 0.1532 0.3065 0.4494
Au: 0.1532 0.3065 0.0506
Au: 0.8468 0.6935 0.5506
Au: 0.8468 0.6935 0.9494
Au: 0.1725 0.3449 0.7500
Au: 0.8275 0.6551 0.2500
Cd: 0.9874 0.9748 0.2500
Cd: 0.0126 0.0252 0.7500


This record from Alexandria describes a geometry-optimized Zn2HgPd7 structure. The functional is PBE-GGA.

Results
Space group: Cmmm
Energy relative to the elements, kJ per mole of atoms: 16
Energy, eV/atom: -3.750
Total magnetization, μB per atom: 0.0000

Lattice parameters (Å, degrees): 4.3733 7.2084 7.2085 119.53 90.00 90.00
Sites, in units of the cell vectors:
Pd: 0.5000 0.6984 0.9293
Pd: 0.0000 0.2152 0.7848
Pd: 0.5000 0.3016 0.0707
Pd: 0.5000 0.9293 0.6984
Pd: 0.5000 0.5000 0.5000
Pd: 0.5000 0.0707 0.3016
Pd: 0.0000 0.7847 0.2152
Zn: 0.5000 0.3008 0.6992
Zn: 0.5000 0.6992 0.3008
Hg: 0.0000 0.0000 0.0000


This record from Alexandria describes a geometry-optimized Sr3Tl2F8 structure. The functional is PBE-GGA.

Results
Space group: P-1
Energy relative to the elements, uncorrected, eV/atom: -3.200
Energy, eV/atom: -5.104
Total magnetization, μB per atom: 0.0000

Lattice parameters (Å, degrees): 3.9865 8.2209 9.1956 73.02 90.18 90.21
Sites, in units of the cell vectors:
Tl: 0.4971 0.3569 0.2340
Tl: 0.5029 0.6431 0.7660
Sr: 0.9991 0.2526 0.6349
Sr: 0.5000 0.0000 0.0000
Sr: 0.0009 0.7474 0.3651
F: 0.9988 0.9771 0.8460
F: 0.0012 0.0229 0.1540
F: 0.5023 0.8068 0.4911
F: 0.0010 0.5503 0.6371
F: 0.4977 0.1932 0.5089
F: 0.5004 0.2714 0.8044
F: 0.4996 0.7286 0.1956
F: 0.9990 0.4497 0.3629